(1)
The following is a DFT calculation (PBE-GGA) of Np2ZnGe4Ir3 after structural relaxation.

Calculated values
* magnetic moment: 7.5 μB/f.u.
* D(E_F): 22.9 states/eV per cell
* ΔH_f (0 K): -7.49 kcal/mol of atoms

Unit cell a=4.2224 b=4.2224 c=10.2909 alpha=90.00 beta=90.00 gamma=90.00
Last column: nearest neighbours and their distance in Å.
Sites, in units of the cell vectors:
Np  0.5000  0.0000  0.2452  6 Ir 3.22-3.37, 8 Ge 3.22-3.29, 2 Zn 3.37
Np  0.0000  0.5000  0.7548  6 Ir 3.22-3.37, 8 Ge 3.22-3.29, 2 Zn 3.37
Zn  0.5000  0.5000  0.5000  4 Ge 2.54
Ge  0.5000  0.5000  0.0000  4 Ir 2.49
Ge  0.0000  0.0000  0.0000  4 Ir 2.49
Ge  0.5000  0.0000  0.6373  3 Ir 2.42-2.54, 2 Zn 2.54
Ge  0.0000  0.5000  0.3627  3 Ir 2.42-2.54, 2 Zn 2.54
Ir  0.0000  0.0000  0.5000  4 Ge 2.54
Ir  0.5000  0.0000  0.8723  5 Ge 2.42-2.49
Ir  0.0000  0.5000  0.1277  5 Ge 2.42-2.49



(2)
The following is a DFT calculation (PBE-GGA) of GeIrO after structural relaxation.

Calculated values
* magnetic moment: 0.0 μB/f.u.
* formation energy without anion corrections: -0.651 eV per atom
* D(E_F): 2.0 states/eV per cell
* relative energy among the computed polymorphs: 0.00 eV/f.u.

Unit cell a=4.0234 b=2.8565 c=14.5476 alpha=90.00 beta=97.71 gamma=90.00
Last column: nearest neighbours and their distance in Å.
Sites, in units of the cell vectors:
Ge  0.0184  0.0000  0.2076  2 O 1.93
Ge  0.0184  0.5000  0.7076  2 O 1.93
Ge  0.7604  0.0000  0.4919  3 O 1.90-1.91
Ge  0.7604  0.5000  0.9919  3 O 1.90-1.91
Ir  0.5637  0.0000  0.3033  2 Ge 2.44, 2 Ir 2.72
Ir  0.5637  0.5000  0.8033  2 Ge 2.44, 2 Ir 2.72
Ir  0.0868  0.0000  0.8920  1 O 2.15
Ir  0.0868  0.5000  0.3920  1 O 2.15
O  0.4658  0.0000  0.0112  2 Ge 1.90
O  0.4658  0.5000  0.5112  2 Ge 1.90
O  0.9703  0.0000  0.6180  3 Ge 1.91-1.93
O  0.9703  0.5000  0.1180  3 Ge 1.91-1.93



(3)
The following is a DFT calculation (PBE-GGA) of GeIr3O after structural relaxation.

Calculated values
* magnetic moment: 0.0 μB/f.u.
* formation energy without anion corrections: 0.853 eV per atom
* D(E_F): 6.3 states/eV per cell
* relative energy among the computed polymorphs: 0.00 eV/f.u.

Unit cell a=4.1817 b=4.1817 c=4.1817 alpha=90.00 beta=90.00 gamma=90.00
Last column: nearest neighbours and their distance in Å.
Sites, in units of the cell vectors:
Ge  0.5000  0.5000  0.5000  12 Ir 2.96
Ir  0.0000  0.5000  0.0000  2 O 2.09
Ir  0.0000  0.0000  0.5000  2 O 2.09
Ir  0.5000  0.0000  0.0000  2 O 2.09
O  0.0000  0.0000  0.0000  6 Ir 2.09



(4)
The following is a DFT calculation (PBE-GGA) of GeIrO after structural relaxation.

Calculated values
* magnetic moment: 0.0 μB/f.u.
* formation energy without anion corrections: -0.562 eV per atom
* D(E_F): 2.7 states/eV per cell
* relative energy among the computed polymorphs: 0.27 eV/f.u.

Unit cell a=2.9147 b=2.9147 c=15.6375 alpha=90.00 beta=90.00 gamma=120.00
Last column: nearest neighbours and their distance in Å.
Sites, in units of the cell vectors:
Ge  0.0000  0.0000  0.2526  3 O 2.03
Ge  0.3333  0.6667  0.9192  3 O 2.03
Ge  0.6667  0.3333  0.5859  3 O 2.03
Ir  0.0000  0.0000  0.8040  1 O 2.27, 3 Ge 2.47
Ir  0.3333  0.6667  0.4706  1 O 2.27, 3 Ge 2.47
Ir  0.6667  0.3333  0.1373  1 O 2.27, 3 Ge 2.47
O  0.0000  0.0000  0.6586  3 Ge 2.03, 1 Ir 2.27
O  0.3333  0.6667  0.3253  3 Ge 2.03, 1 Ir 2.27
O  0.6667  0.3333  0.9920  3 Ge 2.03, 1 Ir 2.27



(5)
The following is a DFT calculation (PBE-GGA) of GeIrO after structural relaxation.

Calculated values
* magnetic moment: 0.0 μB/f.u.
* formation energy without anion corrections: -0.023 eV per atom
* D(E_F): 7.9 states/eV per cell
* relative energy among the computed polymorphs: 1.89 eV/f.u.

Unit cell a=5.8552 b=5.8552 c=6.3439 alpha=62.52 beta=62.52 gamma=60.00
Last column: nearest neighbours and their distance in Å.
Sites, in units of the cell vectors:
Ir  0.1687  0.1687  0.4938  3 O 2.18, 3 Ge 2.37
Ir  0.3430  0.3430  0.9709  3 O 2.23, 3 Ge 2.33
Ir  0.6440  0.6440  0.0681  3 O 2.06
Ge  0.7671  0.4033  0.7675  3 Ir 2.33-2.52
Ge  0.0622  0.7671  0.7675  3 Ir 2.33-2.52
Ge  0.4033  0.0622  0.7675  3 Ir 2.33-2.52
O  0.5038  0.9359  0.2394  3 Ir 2.06-2.23
O  0.9359  0.3210  0.2394  3 Ir 2.06-2.23
O  0.3210  0.5038  0.2394  3 Ir 2.06-2.23



(6)
The following is a DFT calculation (PBE-GGA) of GeIrO after structural relaxation.

Calculated values
* magnetic moment: 0.0 μB/f.u.
* formation energy without anion corrections: -0.582 eV per atom
* D(E_F): 1.4 states/eV per cell
* relative energy among the computed polymorphs: 0.21 eV/f.u.

Unit cell a=4.6167 b=2.8492 c=6.5694 alpha=90.00 beta=95.82 gamma=90.00
Last column: nearest neighbours and their distance in Å.
Sites, in units of the cell vectors:
Ge  0.6745  0.2500  0.1711  3 O 1.95-1.99
Ge  0.3255  0.7500  0.8289  3 O 1.95-1.99
Ir  0.2535  0.2500  0.5324  2 Ge 2.41
Ir  0.7465  0.7500  0.4676  2 Ge 2.41
O  0.2751  0.2500  0.0248  3 Ge 1.95-1.99
O  0.7249  0.7500  0.9752  3 Ge 1.95-1.99



(7)
The following is a DFT calculation (PBE-GGA) of GeIr3O after structural relaxation.

Calculated values
* magnetic moment: 4.5 μB/f.u.
* formation energy without anion corrections: 1.893 eV per atom
* D(E_F): 6.7 states/eV per cell
* relative energy among the computed polymorphs: 5.20 eV/f.u.

Unit cell a=4.5933 b=4.5933 c=4.5933 alpha=90.00 beta=90.00 gamma=90.00
Last column: nearest neighbours and their distance in Å.
Sites, in units of the cell vectors:
Ge  0.0000  0.0000  0.0000  6 Ir 2.30
Ir  0.0000  0.5000  0.0000  2 Ge 2.30
Ir  0.0000  0.0000  0.5000  2 Ge 2.30
Ir  0.5000  0.0000  0.0000  2 Ge 2.30
O  0.5000  0.5000  0.5000  12 Ir 3.25



(8)
The following is a DFT calculation (PBE-GGA) of Ge2IrO after structural relaxation.

Calculated values
* magnetic moment: 0.0 μB/f.u.
* formation energy without anion corrections: -0.292 eV per atom
* D(E_F): 6.6 states/eV per cell

Unit cell a=5.3363 b=5.3363 c=6.1629 alpha=64.35 beta=64.35 gamma=90.00
Last column: nearest neighbours and their distance in Å.
Sites, in units of the cell vectors:
Ge  0.5880  0.1250  0.2500  2 O 2.13, 2 Ir 2.37
Ge  0.1620  0.6250  0.2500  2 O 2.13, 2 Ir 2.37
Ge  0.3750  0.4120  0.7500  2 O 2.13, 2 Ir 2.37
Ge  0.8750  0.8380  0.7500  2 O 2.13, 2 Ir 2.37
Ir  0.0000  0.0000  0.0000  4 Ge 2.37
Ir  0.7500  0.2500  0.5000  4 Ge 2.37
O  0.5000  0.5000  0.0000  4 Ge 2.13
O  0.2500  0.7500  0.5000  4 Ge 2.13



(9)
The following is a DFT calculation (PBE-GGA) of GeIrO after structural relaxation.

Calculated values
* magnetic moment: 0.0 μB/f.u.
* formation energy without anion corrections: -0.597 eV per atom
* D(E_F): 4.0 states/eV per cell
* relative energy among the computed polymorphs: 0.16 eV/f.u.

Unit cell a=2.8389 b=12.1826 c=4.7354 alpha=90.00 beta=90.00 gamma=90.00
Last column: nearest neighbours and their distance in Å.
Sites, in units of the cell vectors:
Ge  0.0000  0.3412  0.2526  3 O 1.90-2.06
Ge  0.0000  0.6588  0.2526  3 O 1.90-2.06
Ge  0.5000  0.8412  0.7526  3 O 1.90-2.06
Ge  0.5000  0.1588  0.7526  3 O 1.90-2.06
Ir  0.0000  0.5000  0.9313  2 Ge 2.46, 2 Ir 2.59
Ir  0.5000  0.0000  0.4313  2 Ge 2.46, 2 Ir 2.59
Ir  0.0000  0.0000  0.9729  4 Ir 2.59-2.84, 4 Ge 2.62
Ir  0.5000  0.5000  0.4729  4 Ir 2.59-2.84, 4 Ge 2.62
O  0.0000  0.2465  0.6129  3 Ge 1.90-2.06
O  0.0000  0.7535  0.6129  3 Ge 1.90-2.06
O  0.5000  0.7465  0.1129  3 Ge 1.90-2.06
O  0.5000  0.2535  0.1129  3 Ge 1.90-2.06



(10)
The following is a DFT calculation (PBE-GGA) of GeIrO after structural relaxation.

Calculated values
* magnetic moment: 0.0 μB/f.u.
* formation energy without anion corrections: -0.583 eV per atom
* D(E_F): 3.5 states/eV per cell
* relative energy among the computed polymorphs: 0.21 eV/f.u.

Unit cell a=3.9031 b=2.8856 c=7.7060 alpha=90.00 beta=92.20 gamma=90.00
Last column: nearest neighbours and their distance in Å.
Sites, in units of the cell vectors:
Ge  0.4207  0.5000  0.6590  3 O 1.80-1.98
Ge  0.6843  0.0000  0.0467  2 O 1.89
Ir  0.1933  0.0000  0.2452  2 Ge 2.46-2.50, 4 Ir 2.65-2.71
Ir  0.7158  0.5000  0.3920  1 Ge 2.40, 2 Ir 2.65
O  0.6729  0.5000  0.8874  3 Ge 1.89-1.98
O  0.1785  0.0000  0.7216  2 Ge 1.80



(11)
The following is a DFT calculation (PBE-GGA) of GeIrO after structural relaxation.

Calculated values
* magnetic moment: 0.0 μB/f.u.
* formation energy without anion corrections: -0.626 eV per atom
* D(E_F): 2.3 states/eV per cell
* relative energy among the computed polymorphs: 0.08 eV/f.u.

Unit cell a=4.8561 b=2.8584 c=6.4142 alpha=90.00 beta=103.38 gamma=90.00
Last column: nearest neighbours and their distance in Å.
Sites, in units of the cell vectors:
Ge  0.4689  0.2500  0.2025  3 O 1.90-2.07
Ge  0.5311  0.7500  0.7975  3 O 1.90-2.07
Ir  0.2255  0.2500  0.5074  3 Ge 2.51-2.54, 2 Ir 2.60
Ir  0.7745  0.7500  0.4926  3 Ge 2.51-2.54, 2 Ir 2.60
O  0.7066  0.2500  0.9736  3 Ge 1.90-2.07
O  0.2934  0.7500  0.0264  3 Ge 1.90-2.07



(12)
The following is a DFT calculation (PBE-GGA) of GeIrOsO2 after structural relaxation.

Calculated values
* magnetic moment: 1.7 μB/f.u.
* formation energy without anion corrections: 0.398 eV per atom
* D(E_F): 2.1 states/eV per cell

Unit cell a=3.6553 b=6.7653 c=3.6553 alpha=90.00 beta=90.00 gamma=90.00
Last column: nearest neighbours and their distance in Å.
Sites, in units of the cell vectors:
Ge  0.0000  0.5000  0.0000  4 Os 2.58
Ir  0.0000  0.0000  0.0000  4 O 1.83
Os  0.5000  0.5000  0.5000  4 Ge 2.58
O  0.0000  0.0000  0.5000  2 Ir 1.83
O  0.5000  0.0000  0.0000  2 Ir 1.83